# GGA+U Na2CrInO4, optimized geometry
# Calculated total energy   -5.84 eV/atom
# Symmetry   P2/m
data_Na2CrInO4
_chemical_formula_sum 'Na2 Cr1 In1 O4'
_symmetry_space_group_name_H-M 'P 1'
_symmetry_Int_Tables_number 1
_cell_length_a 5.498
_cell_length_b 3.165
_cell_length_c 5.762
_cell_angle_alpha 90.00
_cell_angle_beta 108.61
_cell_angle_gamma 90.00
loop_
_symmetry_equiv_pos_as_xyz
'x,y,z'
loop_
_atom_site_label
_atom_site_fract_x
_atom_site_fract_y
_atom_site_fract_z
Na1 0.000 0.000 0.000
Na2 0.500 0.500 0.000
Cr1 0.000 0.500 0.500
In1 0.500 0.000 0.500
O1 0.218 0.000 0.702
O2 0.246 0.500 0.291
O3 0.754 0.500 0.709
O4 0.782 0.000 0.298